Entry from Alexandria via LeMat-Bulk: TaMn8Tc3 after structural relaxation (PBE).

a = 4.6856 Å, b = 4.6856 Å, c = 7.7248 Å
α = 90.00°, β = 90.00°, γ = 120.00°
Space group P3m1 (No. 156)
Inequivalent atoms, fractional coordinates:
Ta 0.0000 0.0000 0.0000
Mn 0.1608 0.3217 0.6847
Mn 0.3333 0.6667 0.4401
Mn 0.3333 0.6667 0.9396
Mn 0.5062 0.0124 0.1904
Tc 0.0000 0.0000 0.3734
Tc 0.6667 0.3333 0.5057
Tc 0.6667 0.3333 0.8648

Calculated values
Formation energy, eV/f.u.: -1.51

=====

Entry from Alexandria via LeMat-Bulk: TaMn2Tc2 after structural relaxation (PBE).

a = 7.063 Å, b = 7.063 Å, c = 2.796 Å
α = 90.00°, β = 90.00°, γ = 90.00°
Space group P4/mbm (No. 127)
Inequivalent atoms, fractional coordinates:
Ta 0.000 0.000 0.000
Mn 0.129 0.371 0.000
Tc 0.168 0.668 0.500

Calculated values
Formation energy, eV/f.u.: 0.39
Distance to the lowest polymorph of the same formula, eV per atom: 0.000

=====

Entry from Alexandria via LeMat-Bulk: TaMn3Tc after structural relaxation (PBE).

a = 4.440 Å, b = 4.440 Å, c = 4.440 Å
α = 90.00°, β = 90.00°, γ = 90.00°
Space group Pm-3m (No. 221)
Inequivalent atoms, fractional coordinates:
Ta 0.000 0.000 0.000
Mn 0.000 0.500 0.500
Tc 0.500 0.500 0.500

Calculated values
Formation energy, eV/f.u.: 6.73
Distance to the lowest polymorph of the same formula, eV per atom: 0.000

=====

Entry from Alexandria via LeMat-Bulk: TaMn3Tc after structural relaxation (PBE).

a = 4.396 Å, b = 4.396 Å, c = 4.396 Å
α = 90.00°, β = 90.00°, γ = 90.00°
Space group Pm-3m (No. 221)
Inequivalent atoms, fractional coordinates:
Ta 0.000 0.000 0.000
Mn 0.000 0.000 0.500
Tc 0.500 0.500 0.500

Calculated values
Formation energy, eV/f.u.: 9.88
Distance to the lowest polymorph of the same formula, eV per atom: 0.629

=====

Entry from Alexandria via LeMat-Bulk: Ta6Mn5Tc after structural relaxation (PBE).

a = 4.371 Å, b = 6.174 Å, c = 13.064 Å
α = 90.00°, β = 90.00°, γ = 90.00°
Space group Immm (No. 71)
Inequivalent atoms, fractional coordinates:
Ta 0.000 0.245 0.000
Ta 0.000 0.252 0.331
Mn 0.000 0.000 0.167
Mn 0.000 0.500 0.168
Mn 0.000 0.500 0.500
Tc 0.000 0.000 0.500

Calculated values
Formation energy, eV/f.u.: -3.31

=====

Entry from Alexandria via LeMat-Bulk: Ta5Mn4Tc after structural relaxation (PBE).

a = 3.090 Å, b = 3.090 Å, c = 15.445 Å
α = 90.00°, β = 90.00°, γ = 90.00°
Space group P4/mmm (No. 123)
Inequivalent atoms, fractional coordinates:
Ta 0.000 0.000 0.000
Ta 0.000 0.000 0.197
Ta 0.000 0.000 0.395
Mn 0.500 0.500 0.099
Mn 0.500 0.500 0.296
Tc 0.500 0.500 0.500

Calculated values
Formation energy, eV/f.u.: -2.84

=====

Entry from Alexandria via LeMat-Bulk: Ta3Mn2Tc after structural relaxation (PBE).

a = 3.110 Å, b = 3.110 Å, c = 9.313 Å
α = 90.00°, β = 90.00°, γ = 90.00°
Space group P4/mmm (No. 123)
Inequivalent atoms, fractional coordinates:
Ta 0.000 0.000 0.000
Ta 0.000 0.000 0.327
Mn 0.500 0.500 0.163
Tc 0.500 0.500 0.500

Calculated values
Formation energy, eV/f.u.: -1.87

=====

Entry from Alexandria via LeMat-Bulk: Ta4MnTc3 after structural relaxation (PBE).

a = 3.162 Å, b = 3.162 Å, c = 12.631 Å
α = 90.00°, β = 90.00°, γ = 90.00°
Space group P4/mmm (No. 123)
Inequivalent atoms, fractional coordinates:
Ta 0.000 0.000 0.120
Ta 0.000 0.000 0.373
Mn 0.500 0.500 0.000
Tc 0.500 0.500 0.246
Tc 0.500 0.500 0.500

Calculated values
Formation energy, eV/f.u.: -3.37

=====

- What is the formation energy in the second record?
  0.39 eV/f.u.

=====

- What is the formation energy in the fourth record?
  9.88 eV/f.u.